[1]
Hf8GaTe2 | PBE | optimized geometry

a b c (Å): 5.428 7.498 7.498
angles (deg): 120.92 99.09 99.09
Sites, in units of the cell vectors:
Hf 0.836 0.905 0.690
Hf 0.836 0.690 0.905
Hf 0.307 0.605 0.605
Hf 0.500 0.774 0.226
Hf 0.500 0.226 0.774
Hf 0.693 0.395 0.395
Hf 0.164 0.310 0.095
Hf 0.164 0.095 0.310
Ga 0.500 0.000 0.000
Te 0.000 0.303 0.697
Te 0.000 0.697 0.303

Computed properties:
As for the uncorrected formation energy: -0.08 eV per atom. The density of states at the Fermi level comes out at 9.722 states/eV/cell.

[2]
Hf2Ga2Te | PBE | optimized geometry

a b c (Å): 7.365 7.365 3.956
angles (deg): 90.00 90.00 90.00
Sites, in units of the cell vectors:
Te 0.000 0.000 0.000
Te 0.500 0.500 0.000
Hf 0.351 0.851 0.000
Hf 0.851 0.649 0.000
Hf 0.649 0.149 0.000
Hf 0.149 0.351 0.000
Ga 0.149 0.649 0.500
Ga 0.649 0.851 0.500
Ga 0.851 0.351 0.500
Ga 0.351 0.149 0.500

Computed properties:
As for the uncorrected formation energy: -0.30 eV per atom. The density of states at the Fermi level comes out at 5.366 states/eV/cell.

[3]
HfGaTe3 | PBE | optimized geometry

a b c (Å): 5.249 5.249 5.249
angles (deg): 90.00 90.00 90.00
Sites, in units of the cell vectors:
Te 0.000 0.500 0.000
Te 0.000 0.000 0.500
Te 0.500 0.000 0.000
Hf 0.500 0.500 0.500
Ga 0.000 0.000 0.000

Computed properties:
As for the uncorrected formation energy: 0.50 eV per atom. The density of states at the Fermi level comes out at 3.165 states/eV/cell.

[4]
HfGa2Te | PBE | optimized geometry

a b c (Å): 7.883 7.883 6.284
angles (deg): 51.15 51.15 90.00
Sites, in units of the cell vectors:
Te 0.500 0.500 0.000
Te 0.250 0.750 0.500
Hf 0.000 0.000 0.000
Hf 0.750 0.250 0.500
Ga 0.638 0.125 0.250
Ga 0.112 0.625 0.250
Ga 0.375 0.362 0.750
Ga 0.875 0.888 0.750

Computed properties:
As for the uncorrected formation energy: 0.07 eV per atom. The density of states at the Fermi level comes out at 7.466 states/eV/cell.

[5]
Hf2Ga2Te7 | PBE | optimized geometry

a b c (Å): 8.191 7.331 7.331
angles (deg): 118.38 99.26 99.26
Sites, in units of the cell vectors:
Hf 0.000 0.305 0.695
Hf 0.000 0.695 0.305
Ga 0.396 0.326 0.326
Ga 0.604 0.674 0.674
Te 0.753 0.902 0.505
Te 0.247 0.495 0.098
Te 0.247 0.098 0.495
Te 0.753 0.505 0.902
Te 0.500 0.000 0.000
Te 0.171 0.674 0.674
Te 0.829 0.326 0.326

Computed properties:
As for the uncorrected formation energy: -0.39 eV per atom. The density of states at the Fermi level comes out at 2.355 states/eV/cell.

[6]
HfGaTe3 | PBE | optimized geometry

a b c (Å): 5.530 5.530 10.768
angles (deg): 90.00 90.00 98.86
Sites, in units of the cell vectors:
Hf 0.110 0.110 0.500
Hf 0.110 0.110 0.000
Ga 0.402 0.931 0.250
Ga 0.931 0.402 0.750
Te 0.210 0.634 0.446
Te 0.210 0.634 0.054
Te 0.905 0.093 0.250
Te 0.634 0.210 0.946
Te 0.634 0.210 0.554
Te 0.093 0.905 0.750

Computed properties:
As for the uncorrected formation energy: -0.28 eV per atom. The density of states at the Fermi level comes out at 4.833 states/eV/cell.

[7]
HfGa3Te | PBE | optimized geometry

a b c (Å): 5.301 5.301 5.301
angles (deg): 90.00 90.00 90.00
Sites, in units of the cell vectors:
Te 0.500 0.500 0.500
Hf 0.000 0.000 0.000
Ga 0.000 0.500 0.000
Ga 0.000 0.000 0.500
Ga 0.500 0.000 0.000

Computed properties:
As for the uncorrected formation energy: 0.57 eV per atom. The density of states at the Fermi level comes out at 6.163 states/eV/cell.

[8]
Hf6Ga3Te | PBE | optimized geometry

a b c (Å): 6.868 8.148 8.148
angles (deg): 109.71 90.00 90.00
Sites, in units of the cell vectors:
Hf 0.122 0.758 0.673
Hf 0.622 0.673 0.758
Hf 0.274 0.505 0.906
Hf 0.774 0.906 0.505
Hf 0.264 0.973 0.027
Hf 0.643 0.291 0.709
Hf 0.143 0.709 0.291
Hf 0.764 0.027 0.973
Hf 0.274 0.094 0.495
Hf 0.774 0.495 0.094
Hf 0.122 0.327 0.242
Hf 0.622 0.242 0.327
Ga 0.462 0.978 0.732
Ga 0.962 0.732 0.978
Ga 0.335 0.446 0.554
Ga 0.835 0.554 0.446
Ga 0.962 0.022 0.268
Ga 0.462 0.268 0.022
Te 0.028 0.185 0.815
Te 0.528 0.815 0.185

Computed properties:
As for the uncorrected formation energy: -0.21 eV per atom. The density of states at the Fermi level comes out at 14.481 states/eV/cell.

[9]
Hf2GaTe4 | PBE | optimized geometry

a b c (Å): 3.979 6.901 9.020
angles (deg): 112.85 102.74 90.00
Sites, in units of the cell vectors:
Hf 0.748 0.757 0.497
Hf 0.252 0.243 0.503
Ga 0.000 0.000 0.000
Te 0.862 0.198 0.725
Te 0.138 0.802 0.275
Te 0.642 0.308 0.284
Te 0.358 0.692 0.716

Computed properties:
As for the uncorrected formation energy: -0.66 eV per atom. The density of states at the Fermi level comes out at 2.575 states/eV/cell.

[10]
Hf6GaTe | PBE | optimized geometry

a b c (Å): 7.365 7.422 5.126
angles (deg): 69.12 70.30 40.57
Sites, in units of the cell vectors:
Hf 0.255 0.254 0.746
Hf 0.881 0.881 0.619
Hf 0.381 0.381 0.119
Hf 0.119 0.119 0.381
Hf 0.745 0.746 0.254
Hf 0.619 0.619 0.881
Ga 0.500 0.500 0.500
Te 0.000 0.000 0.000

Computed properties:
As for the uncorrected formation energy: -0.22 eV per atom. The density of states at the Fermi level comes out at 9.057 states/eV/cell.

[11]
HfGa2Te4 | PBE | optimized geometry

a b c (Å): 6.700 6.700 6.700
angles (deg): 106.31 106.31 115.99
Each line ends with the local moment (μB).
Sites, in units of the cell vectors:
Hf 0.500 0.500 0.000  0.60
Ga 0.250 0.750 0.500  0.02
Ga 0.750 0.250 0.500  0.02
Te 0.319 0.189 0.509  0.01
Te 0.811 0.319 0.130  0.01
Te 0.189 0.681 0.870  0.01
Te 0.681 0.811 0.491  0.01

Computed properties:
As for the uncorrected formation energy: -0.15 eV per atom. The density of states at the Fermi level comes out at 4.949 states/eV/cell.

[12]
HfGa3Te | PBE | optimized geometry

a b c (Å): 5.215 5.215 5.215
angles (deg): 90.00 90.00 90.00
Sites, in units of the cell vectors:
Te 0.000 0.000 0.000
Hf 0.500 0.500 0.500
Ga 0.000 0.500 0.000
Ga 0.000 0.000 0.500
Ga 0.500 0.000 0.000

Computed properties:
As for the uncorrected formation energy: 1.06 eV per atom. The density of states at the Fermi level comes out at 7.599 states/eV/cell.

[13]
HfTl2GaTe5 | PBE | optimized geometry

a b c (Å): 4.021 10.342 14.983
angles (deg): 90.00 90.00 101.21
Sites, in units of the cell vectors:
Hf 0.795 0.589 0.532
Hf 0.205 0.411 0.032
Tl 0.874 0.748 0.829
Tl 0.125 0.250 0.674
Tl 0.126 0.252 0.329
Tl 0.875 0.750 0.174
Ga 0.566 0.133 0.921
Ga 0.434 0.867 0.421
Te 0.343 0.686 0.005
Te 0.696 0.393 0.887
Te 0.499 0.998 0.773
Te 0.293 0.585 0.667
Te 0.945 0.891 0.537
Te 0.657 0.314 0.505
Te 0.304 0.607 0.387
Te 0.501 0.002 0.273
Te 0.707 0.415 0.167
Te 0.055 0.109 0.037

Computed properties:
As for the uncorrected formation energy: -0.45 eV per atom. The density of states at the Fermi level comes out at 5.307 states/eV/cell.

[14]
HfThGa2 | PBE | optimized geometry

a b c (Å): 3.253 3.253 8.079
angles (deg): 90.00 90.00 90.00
Sites, in units of the cell vectors:
Hf 0.500 0.500 0.000
Ga 0.000 0.000 0.774
Ga 0.000 0.000 0.226
Th 0.500 0.500 0.500

Computed properties:
The density of states at the Fermi level comes out at 2.687 states/eV/cell. Its total energy is -6.22 eV per atom.

[15]
HfThGa6 | PBE | optimized geometry

a b c (Å): 4.290 4.290 8.446
angles (deg): 90.00 90.00 90.00
Sites, in units of the cell vectors:
Hf 0.000 0.000 0.500
Th 0.000 0.000 0.000
Ga 0.500 0.500 0.000
Ga 0.500 0.500 0.500
Ga 0.500 0.000 0.266
Ga 0.500 0.000 0.734
Ga 0.000 0.500 0.266
Ga 0.000 0.500 0.734

Computed properties:
The density of states at the Fermi level comes out at 4.356 states/eV/cell. Its total energy is -4.86 eV per atom.

[16]
HfThGa2 | PBE | optimized geometry

a b c (Å): 3.423 3.423 9.219
angles (deg): 79.30 79.30 60.00
Sites, in units of the cell vectors:
Hf 0.000 0.000 0.000
Ga 0.743 0.743 0.772
Ga 0.257 0.257 0.228
Th 0.500 0.500 0.500

Computed properties:
The density of states at the Fermi level comes out at 2.938 states/eV/cell. Its total energy is -6.04 eV per atom.

[17]
HfThGa2 | PBE | optimized geometry

a b c (Å): 4.553 4.494 5.901
angles (deg): 68.09 67.31 59.57
Sites, in units of the cell vectors:
Hf 0.000 0.500 0.500
Th 0.500 0.000 0.000
Ga 0.725 0.229 0.320
Ga 0.275 0.771 0.680

Computed properties:
The density of states at the Fermi level comes out at 3.269 states/eV/cell. Its total energy is -6.20 eV per atom.

[18]
HfThGa4 | PBE | optimized geometry

a b c (Å): 5.505 5.505 5.505
angles (deg): 60.00 60.00 60.00
Sites, in units of the cell vectors:
Hf 0.000 0.000 0.000
Ga 0.626 0.626 0.123
Ga 0.626 0.123 0.626
Ga 0.626 0.626 0.626
Ga 0.123 0.626 0.626
Th 0.250 0.250 0.250

Computed properties:
The density of states at the Fermi level comes out at 4.282 states/eV/cell. Its total energy is -5.24 eV per atom.

[19]
Hf2ThGa6 | PBE | optimized geometry

a b c (Å): 4.167 7.568 7.568
angles (deg): 53.88 74.02 74.02
Sites, in units of the cell vectors:
Hf 0.880 0.620 0.620
Hf 0.120 0.380 0.380
Th 0.000 0.000 0.000
Ga 0.689 0.017 0.605
Ga 0.311 0.983 0.395
Ga 0.311 0.395 0.983
Ga 0.500 0.681 0.319
Ga 0.500 0.319 0.681
Ga 0.689 0.605 0.017

Computed properties:
The density of states at the Fermi level comes out at 5.081 states/eV/cell. Its total energy is -5.38 eV per atom.

[20]
Hf2TiGa2 | PBE | optimized geometry

a b c (Å): 8.119 8.119 2.933
angles (deg): 90.00 90.00 90.00
Sites, in units of the cell vectors:
Hf 0.371 0.871 0.000
Hf 0.871 0.629 0.000
Hf 0.629 0.129 0.000
Hf 0.129 0.371 0.000
Ga 0.171 0.671 0.500
Ga 0.671 0.829 0.500
Ga 0.829 0.329 0.500
Ga 0.329 0.171 0.500
Ti 0.000 0.000 0.000
Ti 0.500 0.500 0.000

Computed properties:
The density of states at the Fermi level comes out at 6.520 states/eV/cell. Its total energy is -6.79 eV per atom.